TmMgSc | PBE | optimized geometry

Values from the calculation:
- Total energy: -24.85 eV for the cell shown
- ΔE to the lowest computed polymorph: 0 meV/atom
- Magnetization: 0.004 μB/atom
- Theoretical density: 5.222 g/cm³

Structure (extended XYZ):
```
6
Lattice="-5.671 1.051 6.232 4.072 -4.146 -6.192 3.492 -1.759 3.475" Properties=species:S:1:pos:R:3 pbc="T T T"
Mg 2.411 -3.183 1.872
Mg -0.518 -1.672 1.643
Tm -0.848 -1.444 6.028
Tm 2.741 -3.410 -2.513
Sc 5.738 -4.957 -2.370
Sc -3.845 0.103 5.885
```